[1]
Entry from the Open Quantum Materials Database: a relaxed PrYAl2Pd4 crystal (PBE-GGA).

Geometry as CIF:
```
data_PrYAl2Pd4
_chemical_formula_sum 'Pr1 Y1 Al2 Pd4'
_cell_length_a 4.3900
_cell_length_b 4.3900
_cell_length_c 9.3199
_cell_angle_alpha 90.00
_cell_angle_beta 90.00
_cell_angle_gamma 120.00
_space_group_name_H-M_alt 'P 1'
_space_group_IT_number 1
_space_group_name_Hall 'P 1'
loop_
_atom_site_label
_atom_site_type_symbol
_atom_site_fract_x
_atom_site_fract_y
_atom_site_fract_z
Pr1 Pr 0.0000 0.0000 0.0000
Y1 Y 0.3333 0.6667 0.5000
Al1 Al 0.6667 0.3333 0.2576
Al2 Al 0.6667 0.3333 0.7424
Pd1 Pd 0.0000 0.0000 0.3329
Pd2 Pd 0.0000 0.0000 0.6671
Pd3 Pd 0.3333 0.6667 0.1824
Pd4 Pd 0.3333 0.6667 0.8176
```

Computed properties:
Mass density = 7.6 g cm⁻³
Final energy = -5.832 eV/atom

=====

[2]
Entry from the Open Quantum Materials Database: a relaxed GaAu15 crystal (PBE-GGA).

Geometry as CIF:
```
data_GaAu15
_chemical_formula_sum 'Ga2 Au30'
_cell_length_a 5.1160
_cell_length_b 37.3546
_cell_length_c 5.1350
_cell_angle_alpha 90.00
_cell_angle_beta 111.74
_cell_angle_gamma 90.00
_space_group_name_H-M_alt 'P 1'
_space_group_IT_number 1
_space_group_name_Hall 'P 1'
loop_
_atom_site_label
_atom_site_type_symbol
_atom_site_fract_x
_atom_site_fract_y
_atom_site_fract_z
Ga1 Ga 0.0000 0.2105 0.2500
Ga2 Ga 0.0000 0.7895 0.7500
Au1 Au 0.0000 0.2392 0.7500
Au2 Au 0.0000 0.2840 0.2500
Au3 Au 0.0000 0.3217 0.7500
Au4 Au 0.0000 0.3625 0.2500
Au5 Au 0.0000 0.4011 0.7500
Au6 Au 0.0000 0.4411 0.2500
Au7 Au 0.0000 0.4801 0.7500
Au8 Au 0.0000 0.5199 0.2500
Au9 Au 0.0000 0.5589 0.7500
Au10 Au 0.0000 0.5989 0.2500
Au11 Au 0.0000 0.6375 0.7500
Au12 Au 0.0000 0.6783 0.2500
Au13 Au 0.0000 0.7160 0.7500
Au14 Au 0.0000 0.7608 0.2500
Au15 Au 0.5000 0.2061 0.7500
Au16 Au 0.5000 0.2388 0.2500
Au17 Au 0.5000 0.2837 0.7500
Au18 Au 0.5000 0.3215 0.2500
Au19 Au 0.5000 0.3619 0.7500
Au20 Au 0.5000 0.4011 0.2500
Au21 Au 0.5000 0.4408 0.7500
Au22 Au 0.5000 0.4802 0.2500
Au23 Au 0.5000 0.5198 0.7500
Au24 Au 0.5000 0.5592 0.2500
Au25 Au 0.5000 0.5989 0.7500
Au26 Au 0.5000 0.6381 0.2500
Au27 Au 0.5000 0.6785 0.7500
Au28 Au 0.5000 0.7163 0.2500
Au29 Au 0.5000 0.7612 0.7500
Au30 Au 0.5000 0.7939 0.2500
```

Computed properties:
Mass density = 11.0 g cm⁻³
ΔE to the lowest computed polymorph = 0.013 eV/atom